Here is a relaxed V2SeF crystal from Alexandria via LeMat-Bulk. Energies are from PBE+U.

The structure belongs to space group I-42d (No. 122); the cell edges are 5.030, 5.030 and 12.822 Å and the angles 90.00°, 90.00° and 90.00°. The distinct sites, in fractional coordinates, are V at (0.169, 0.250, 0.125), Se at (0.000, 0.000, 0.500) and F at (0.000, 0.000, 0.000).

The value obtained for the density of states at the Fermi level is 1.51 states/eV/f.u. The calculation puts the total energy at -5.615 eV per atom. The value obtained for the volume is 20.3 Å³/atom. The crystal system is tetragonal.